A | Material: SnSb2Cl
Method: DFT, GGA-PBE
State: optimized geometry

The value obtained for the density of states at the Fermi level is 0.571 states/eV/atom.

abc: 7.3953 7.3953 7.3953
angles: 90.00 90.00 90.00
Space group Fm-3m (No. 225)
Asymmetric unit:
Sn (0.0000, 0.0000, 0.0000)
Sb (0.2500, 0.2500, 0.2500)
Cl (0.0000, 0.0000, 0.5000)

B | Material: SnSb2Cl
Method: DFT, GGA-PBE
State: optimized geometry

The value obtained for the density of states at the Fermi level is 0.662 states/eV/atom.

abc: 7.4037 7.4037 10.9107
angles: 90.00 90.00 90.00
Space group I-42d (No. 122)
Asymmetric unit:
Sn (0.0000, 0.0000, 0.0000)
Sb (0.2401, 0.2500, 0.1250)
Cl (0.0000, 0.0000, 0.5000)

Stability comparison, relative energies in meV/atom: A 0; B 194